This record from Alexandria via LeMat-Bulk describes an optimized crystal structure of TbDyGe2. The functional is GGA-PBE.

Output
energy of formation = -2.5 eV per formula unit
N(E_F) = 0.957 states/eV/atom
offset from the most stable computed form = 0.261 eV/atom

a b c (Å): 5.328 5.328 3.216
angles (deg): 90.00 90.00 90.00
Space group P4/mmm (No. 123)
Unique sites:
1 Tb 0.000 0.000 0.000
2 Dy 0.500 0.500 0.000
3 Ge 0.000 0.500 0.500